A relaxed structure of CsRb2LaI6, computed with PBE.

Values from the calculation:
**DOS at the Fermi energy**: 0.00 states/eV/cell
**E_form (uncorrected)**: -1434 meV/atom

Cell lengths 13.554, 13.554, 13.554 Å; angles 90.00, 90.00, 90.00 degrees
Space group Fm-3m (No. 225)
Inequivalent atoms, fractional coordinates:
Cs1 0.000 0.000 0.000 x4
Rb1 0.250 0.250 0.250 x8
La1 0.000 0.000 0.500 x4
I1 0.000 0.000 0.268 x24